No. 1
PaBeRhC: optimized geometry, PBE-GGA.

a = 3.7703 Å, b = 3.7703 Å, c = 7.8696 Å
α = 90.00°, β = 90.00°, γ = 90.00°
With the nearest neighbours (Å) after each atom.
Fractional coordinates of all 8 atoms:
Pa: 0.0000 0.5000 0.8314  1 C 2.28
Pa: 0.5000 0.0000 0.1686  1 C 2.28
Be: 0.0000 0.5000 0.3399  1 C 1.72
Be: 0.5000 0.0000 0.6601  1 C 1.72
Rh: 0.0000 0.0000 0.5000  4 Be 2.27
Rh: 0.5000 0.5000 0.5000  4 Be 2.27
C: 0.5000 0.0000 0.8791  1 Be 1.72
C: 0.0000 0.5000 0.1209  1 Be 1.72

Summary:
SG: P4/nmm, No. 129
DOS at the Fermi energy: 3.05 states/eV/f.u.
E: -7.91 eV per atom

***

No. 2
Pa2BeRu6C: optimized geometry, PBE-GGA.

a = 4.2087 Å, b = 4.2087 Å, c = 8.4168 Å
α = 90.00°, β = 90.00°, γ = 90.00°
With the nearest neighbours (Å) after each atom.
Fractional coordinates of all 10 atoms:
Pa: 0.0000 0.0000 0.7596  12 Ru 2.92-3.03
Pa: 0.0000 0.0000 0.2404  12 Ru 2.92-3.03
Be: 0.5000 0.5000 0.0000  6 Ru 2.10-2.20
Ru: 0.5000 0.0000 0.0000  2 Be 2.10
Ru: 0.5000 0.0000 0.5000  2 C 2.10
Ru: 0.0000 0.5000 0.0000  2 Be 2.10
Ru: 0.0000 0.5000 0.5000  2 C 2.10
Ru: 0.5000 0.5000 0.7392  1 C 2.01, 1 Be 2.20
Ru: 0.5000 0.5000 0.2608  1 C 2.01, 1 Be 2.20
C: 0.5000 0.5000 0.5000  6 Ru 2.01-2.10

Summary:
SG: P4/mmm, No. 123
DOS at the Fermi energy: 2.97 states/eV/f.u.
E: -9.15 eV per atom

***

No. 3
PaBeRuC: optimized geometry, PBE-GGA.

a = 3.6653 Å, b = 3.6653 Å, c = 8.3206 Å
α = 90.00°, β = 90.00°, γ = 90.00°
With the nearest neighbours (Å) after each atom.
Fractional coordinates of all 8 atoms:
Pa: 0.0000 0.5000 0.8393  1 C 2.32
Pa: 0.5000 0.0000 0.1607  1 C 2.32
Be: 0.0000 0.5000 0.3261  1 C 1.73
Be: 0.5000 0.0000 0.6739  1 C 1.73
Ru: 0.0000 0.0000 0.5000  4 Be 2.33, 4 Ru 2.59
Ru: 0.5000 0.5000 0.5000  4 Be 2.33, 4 Ru 2.59
C: 0.5000 0.0000 0.8813  1 Be 1.73
C: 0.0000 0.5000 0.1187  1 Be 1.73

Summary:
SG: P4/nmm, No. 129
DOS at the Fermi energy: 2.80 states/eV/f.u.
E: -8.23 eV per atom

***

No. 4
Pa2BeSiC: optimized geometry, PBE-GGA.

a = 3.6810 Å, b = 6.1271 Å, c = 8.0387 Å
α = 108.30°, β = 90.00°, γ = 90.00°
With the nearest neighbours (Å) after each atom.
Fractional coordinates of all 10 atoms:
Pa: 0.7500 0.7971 0.6105  2 C 2.50
Pa: 0.7500 0.7658 0.0304  3 C 2.34-2.58
Pa: 0.2500 0.2029 0.3895  2 C 2.50
Pa: 0.2500 0.2342 0.9696  3 C 2.34-2.58
Be: 0.2500 0.5416 0.7475  1 C 1.72
Be: 0.7500 0.4584 0.2525  1 C 1.72
Si: 0.2500 0.6733 0.3013  2 Be 2.22
Si: 0.7500 0.3267 0.6987  2 Be 2.22
C: 0.2500 0.8375 0.8284  1 Be 1.72
C: 0.7500 0.1625 0.1716  1 Be 1.72

Summary:
SG: P2_1/m, No. 11
DOS at the Fermi energy: 4.85 states/eV/f.u.
energy relative to the elements, uncorrected: -435 meV per atom

***

No. 5
PaBeTcC: optimized geometry, PBE-GGA.

a = 3.6192 Å, b = 3.6192 Å, c = 8.6670 Å
α = 90.00°, β = 90.00°, γ = 90.00°
With the nearest neighbours (Å) after each atom.
Fractional coordinates of all 8 atoms:
Pa: 0.0000 0.5000 0.8450  5 C 2.35-2.58
Pa: 0.5000 0.0000 0.1550  5 C 2.35-2.58
Be: 0.0000 0.5000 0.3144  1 C 1.72
Be: 0.5000 0.0000 0.6856  1 C 1.72
Tc: 0.0000 0.0000 0.5000  4 Be 2.42, 4 Tc 2.56
Tc: 0.5000 0.5000 0.5000  4 Be 2.42, 4 Tc 2.56
C: 0.5000 0.0000 0.8839  1 Be 1.72
C: 0.0000 0.5000 0.1161  1 Be 1.72

Summary:
SG: P4/nmm, No. 129
DOS at the Fermi energy: 2.26 states/eV/f.u.
E: -8.50 eV per atom

***

No. 6
ThPa2BeC4: optimized geometry, PBE-GGA.

a = 3.6037 Å, b = 6.0619 Å, c = 11.5629 Å
α = 90.00°, β = 90.00°, γ = 107.29°
With the nearest neighbours (Å) after each atom.
Fractional coordinates of all 16 atoms:
Th: 0.1016 0.2032 0.7500  6 C 2.61-2.81
Th: 0.8984 0.7968 0.2500  6 C 2.61-2.81
Pa: 0.3674 0.7349 0.5576  6 C 2.37-2.46
Pa: 0.6326 0.2651 0.0576  6 C 2.37-2.46
Pa: 0.6326 0.2651 0.4424  6 C 2.37-2.46
Pa: 0.3674 0.7349 0.9424  6 C 2.37-2.46
Be: 0.8312 0.6623 0.7500  2 C 1.82
Be: 0.1688 0.3377 0.2500  2 C 1.82
C: 0.2614 0.5229 0.1228  1 Be 1.82
C: 0.7386 0.4771 0.6228  1 Be 1.82
C: 0.7386 0.4771 0.8772  1 Be 1.82
C: 0.2614 0.5229 0.3772  1 Be 1.82
C: 0.0000 0.0000 0.5000  4 Pa 2.46
C: 0.0000 0.0000 0.0000  4 Pa 2.46
C: 0.4388 0.8776 0.7500  2 Be 2.19, 2 Pa 2.37
C: 0.5612 0.1224 0.2500  2 Be 2.19, 2 Pa 2.37

Summary:
SG: Cmcm, No. 63
DOS at the Fermi energy: 2.79 states/eV/f.u.
E: -8.68 eV per atom

***

No. 7
U2PaBeC4: optimized geometry, PBE-GGA.

a = 3.5281 Å, b = 5.7606 Å, c = 11.2096 Å
α = 90.00°, β = 90.00°, γ = 107.83°
With the nearest neighbours (Å) after each atom.
Fractional coordinates of all 16 atoms:
U: 0.3722 0.7444 0.5556  6 C 2.31-2.43
U: 0.6278 0.2556 0.0556  6 C 2.31-2.43
U: 0.6278 0.2556 0.4444  6 C 2.31-2.43
U: 0.3722 0.7444 0.9444  6 C 2.31-2.43
Pa: 0.1095 0.2190 0.7500  6 C 2.54-2.66
Pa: 0.8905 0.7810 0.2500  6 C 2.54-2.66
Be: 0.8401 0.6802 0.7500  2 C 1.80
Be: 0.1599 0.3198 0.2500  2 C 1.80
C: 0.2623 0.5247 0.1245  1 Be 1.80
C: 0.7377 0.4753 0.6245  1 Be 1.80
C: 0.7377 0.4753 0.8755  1 Be 1.80
C: 0.2623 0.5247 0.3755  1 Be 1.80
C: 0.0000 0.0000 0.5000  4 U 2.34
C: 0.0000 0.0000 0.0000  4 U 2.34
C: 0.4426 0.8853 0.7500  2 Be 2.09, 2 U 2.31
C: 0.5574 0.1147 0.2500  2 Be 2.09, 2 U 2.31

Summary:
SG: Cmcm, No. 63
DOS at the Fermi energy: 8.70 states/eV/f.u.
E: -9.24 eV per atom

***

No. 8
BePb2C: optimized geometry, PBE-GGA.

a = 5.8129 Å, b = 5.8129 Å, c = 6.6320 Å
α = 64.01°, β = 64.01°, γ = 90.00°
With the nearest neighbours (Å) after each atom.
Fractional coordinates of all 8 atoms:
Pb: 0.6547 0.1250 0.2500  2 C 2.33, 2 Be 2.54
Pb: 0.0953 0.6250 0.2500  2 C 2.33, 2 Be 2.54
Pb: 0.3750 0.3453 0.7500  2 C 2.33, 2 Be 2.54
Pb: 0.8750 0.9047 0.7500  2 C 2.33, 2 Be 2.54
Be: 0.5000 0.5000 0.0000  4 Pb 2.54
Be: 0.2500 0.7500 0.5000  4 Pb 2.54
C: 0.0000 0.0000 0.0000  4 Pb 2.33
C: 0.7500 0.2500 0.5000  4 Pb 2.33

Summary:
SG: I-42d, No. 122
DOS at the Fermi energy: 0.61 states/eV/f.u.
ΔE to the lowest computed polymorph: 0.0000 eV per atom

***

No. 9
Be3PbC: optimized geometry, PBE-GGA.

a = 3.8734 Å, b = 3.8734 Å, c = 3.8734 Å
α = 90.00°, β = 90.00°, γ = 90.00°
With the nearest neighbours (Å) after each atom.
Fractional coordinates of all 5 atoms:
Pb: 0.5000 0.5000 0.5000  12 Be 2.74
Be: 0.0000 0.5000 0.0000  2 C 1.94
Be: 0.0000 0.0000 0.5000  2 C 1.94
Be: 0.5000 0.0000 0.0000  2 C 1.94
C: 0.0000 0.0000 0.0000  6 Be 1.94

Summary:
SG: Pm-3m, No. 221
DOS at the Fermi energy: 1.49 states/eV/f.u.
ΔE to the lowest computed polymorph: 0.0000 eV per atom

***

No. 10
Be2PbC: optimized geometry, PBE-GGA.

a = 4.2670 Å, b = 4.2670 Å, c = 4.2670 Å
α = 60.00°, β = 60.00°, γ = 60.00°
With the nearest neighbours (Å) after each atom.
Fractional coordinates of all 4 atoms:
Pb: 0.5000 0.5000 0.5000  8 Be 2.61
Be: 0.2500 0.2500 0.2500  4 Pb 2.61, 4 C 2.61
Be: 0.7500 0.7500 0.7500  4 Pb 2.61, 4 C 2.61
C: 0.0000 0.0000 0.0000  8 Be 2.61

Summary:
SG: Fm-3m, No. 225
DOS at the Fermi energy: 2.10 states/eV/f.u.
ΔE to the lowest computed polymorph: 1.3843 eV per atom

***

No. 11
BePb2C: optimized geometry, PBE-GGA.

a = 4.7679 Å, b = 4.7679 Å, c = 4.7679 Å
α = 60.00°, β = 60.00°, γ = 60.00°
With the nearest neighbours (Å) after each atom.
Fractional coordinates of all 4 atoms:
Pb: 0.2500 0.2500 0.2500  4 C 2.92, 4 Be 2.92
Pb: 0.7500 0.7500 0.7500  4 Be 2.92, 4 C 2.92
Be: 0.0000 0.0000 0.0000  8 Pb 2.92
C: 0.5000 0.5000 0.5000  8 Pb 2.92

Summary:
SG: Fm-3m, No. 225
DOS at the Fermi energy: 2.10 states/eV/f.u.
ΔE to the lowest computed polymorph: 0.3992 eV per atom

***

No. 12
Be2PbC: optimized geometry, PBE-GGA.

a = 5.5342 Å, b = 5.5342 Å, c = 5.5316 Å
α = 59.98°, β = 59.98°, γ = 90.00°
With the nearest neighbours (Å) after each atom.
Fractional coordinates of all 8 atoms:
Pb: 0.0000 0.0000 0.0000  12 Be 3.24-3.25, 4 Pb 3.39, 4 C 3.39
Pb: 0.7500 0.2500 0.5000  12 Be 3.24-3.25, 4 Pb 3.39, 4 C 3.39
Be: 0.3755 0.1250 0.2500  2 C 1.69
Be: 0.3745 0.6250 0.2500  2 C 1.69
Be: 0.3750 0.6245 0.7500  2 C 1.69
Be: 0.8750 0.6255 0.7500  2 C 1.69
C: 0.5000 0.5000 0.0000  4 Be 1.69
C: 0.2500 0.7500 0.5000  4 Be 1.69

Summary:
SG: I-42d, No. 122
DOS at the Fermi energy: 0.82 states/eV/f.u.
ΔE to the lowest computed polymorph: 0.0000 eV per atom

***

No. 13
Be3PbC: optimized geometry, PBE-GGA.

a = 4.6051 Å, b = 4.6051 Å, c = 4.6051 Å
α = 90.00°, β = 90.00°, γ = 90.00°
With the nearest neighbours (Å) after each atom.
Fractional coordinates of all 5 atoms:
Pb: 0.0000 0.0000 0.0000  6 Be 2.30
Be: 0.0000 0.5000 0.0000  2 Pb 2.30
Be: 0.0000 0.0000 0.5000  2 Pb 2.30
Be: 0.5000 0.0000 0.0000  2 Pb 2.30
C: 0.5000 0.5000 0.5000  12 Be 3.26

Summary:
SG: Pm-3m, No. 221
DOS at the Fermi energy: 1.56 states/eV/f.u.
ΔE to the lowest computed polymorph: 1.7957 eV per atom